Entry 1:
This record from Alexandria describes crystalline La2AlHg at its relaxed geometry. The functional is GGA-PBE.

a b c (Å): 4.0090 4.0090 7.2931
angles (deg): 90.00 90.00 90.00
Space group P4mm (No. 99)
Asymmetric unit:
La1 0.0000 0.0000 0.0000 [1 per cell]
La2 0.5000 0.5000 0.3246 [1 per cell]
Al1 0.0000 0.0000 0.5547 [1 per cell]
Hg1 0.5000 0.5000 0.7683 [1 per cell]

Values from the calculation:
E above lowest polymorph: 299 meV per atom
uncorrected energy: -14.46 eV per cell
spin magnetization: 0.00 μB/cell


Entry 2:
This record from Alexandria describes crystalline NdSc3Te2 at its relaxed geometry. The functional is GGA-PBE.

a b c (Å): 15.2852 4.0758 11.6003
angles (deg): 90.00 116.76 90.00
Space group C2/m (No. 12)
Asymmetric unit:
Nd1 0.1376 0.0000 0.0577 [4 per cell]
Sc1 0.0431 0.0000 0.3600 [4 per cell]
Sc2 0.1153 0.5000 0.5940 [4 per cell]
Sc3 0.2179 0.5000 0.3900 [4 per cell]
Te1 0.0229 0.5000 0.1599 [4 per cell]
Te2 0.1863 0.0000 0.8032 [4 per cell]

Values from the calculation:
energy relative to the elements, uncorrected: -0.843 eV per atom
uncorrected energy: -140.40 eV per cell
spin magnetization: 3.59 μB/cell


Entry 3:
This record from Alexandria describes crystalline GeSO2 at its relaxed geometry. The functional is GGA-PBE.

a b c (Å): 5.6296 5.6296 7.9549
angles (deg): 90.00 90.00 90.00
Space group I-42d (No. 122)
Asymmetric unit:
Ge1 0.0000 0.0000 0.0000 [4 per cell]
S1 0.0000 0.0000 0.5000 [4 per cell]
O1 0.0603 0.2500 0.1250 [8 per cell]

Values from the calculation:
E above lowest polymorph: 0 meV per atom
energy relative to the elements, uncorrected: -0.391 eV per atom
uncorrected energy: -80.91 eV per cell
spin magnetization: 8.00 μB/cell


Question: Among the records above, which one has the highest uncorrected energy?
Answer: La2AlHg


Question: spin magnetization of number 2 (NdSc3Te2)?
Answer: 3.59 μB/cell


Repeat the third record exactly.
This record from Alexandria describes crystalline GeSO2 at its relaxed geometry. The functional is GGA-PBE.

a b c (Å): 5.6296 5.6296 7.9549
angles (deg): 90.00 90.00 90.00
Space group I-42d (No. 122)
Asymmetric unit:
Ge1 0.0000 0.0000 0.0000 [4 per cell]
S1 0.0000 0.0000 0.5000 [4 per cell]
O1 0.0603 0.2500 0.1250 [8 per cell]

Values from the calculation:
E above lowest polymorph: 0 meV per atom
energy relative to the elements, uncorrected: -0.391 eV per atom
uncorrected energy: -80.91 eV per cell
spin magnetization: 8.00 μB/cell